Below is a geometry-optimized GdYGePd structure, with properties calculated at the PBE-GGA level.

Cell: 7.127 7.127 7.127 Å, 90.00 90.00 90.00°
Element x y z (fractional)
Gd 0.000 0.000 0.000
Gd 0.000 0.500 0.500
Gd 0.500 0.000 0.500
Gd 0.500 0.500 0.000
Y 0.000 0.000 0.500
Y 0.000 0.500 0.000
Y 0.500 0.000 0.000
Y 0.500 0.500 0.500
Ge 0.250 0.250 0.250
Ge 0.250 0.750 0.750
Ge 0.750 0.250 0.750
Ge 0.750 0.750 0.250
Pd 0.250 0.250 0.750
Pd 0.250 0.750 0.250
Pd 0.750 0.250 0.250
Pd 0.750 0.750 0.750

Output
DFT formation energy = -77.6 kJ/mol of atoms
Calculated volume = 22.627 Å³/atom
M_tot = 7.2 μB per formula unit
VASP energy = -8.393 eV/atom
N(E_F) = 3.00 states/eV/f.u.
Space-group type = F-43m